(A)
Density functional theory data (PBE) for a geometry-optimized YHo3Er6 structure.

Summary:
SG ... No. 36
Magnetic moment ... 0.00 Bohr magnetons per cell

a b c (Å): 11.437 11.437 6.318
angles (deg): 90.00 90.00 130.87
Positions (direct):
Y1 0.162 0.838 0.500
Y2 0.838 0.162 0.000
Ho1 0.042 0.297 0.475
Ho2 0.297 0.042 0.975
Ho3 0.420 0.580 0.580
Ho4 0.580 0.420 0.080
Ho5 0.703 0.958 0.475
Ho6 0.958 0.703 0.975
Er1 0.014 0.986 0.302
Er2 0.105 0.543 0.815
Er3 0.257 0.379 0.053
Er4 0.302 0.698 0.273
Er5 0.379 0.257 0.553
Er6 0.457 0.895 0.815
Er7 0.543 0.105 0.315
Er8 0.621 0.743 0.053
Er9 0.698 0.302 0.773
Er10 0.743 0.621 0.553
Er11 0.895 0.457 0.315
Er12 0.986 0.014 0.802

(B)
Density functional theory data (PBE) for a geometry-optimized YHo3Er6 structure.

Summary:
SG ... No. 36
Magnetic moment ... 0.00 Bohr magnetons per cell

a b c (Å): 10.871 10.871 6.141
angles (deg): 90.00 90.00 119.79
Positions (direct):
Y1 0.206 0.794 0.500
Y2 0.794 0.206 0.000
Ho1 0.062 0.280 0.685
Ho2 0.280 0.062 0.185
Ho3 0.391 0.609 0.575
Ho4 0.609 0.391 0.075
Ho5 0.720 0.938 0.685
Ho6 0.938 0.720 0.185
Er1 0.042 0.463 0.287
Er2 0.046 0.954 0.730
Er3 0.283 0.717 0.003
Er4 0.288 0.382 0.112
Er5 0.382 0.288 0.612
Er6 0.463 0.042 0.787
Er7 0.537 0.958 0.287
Er8 0.618 0.712 0.112
Er9 0.712 0.618 0.612
Er10 0.717 0.283 0.503
Er11 0.954 0.046 0.230
Er12 0.958 0.537 0.787

Relative energies, in meV per atom, with the most stable structure set to zero: (A) 0; (B) 32.

(A)
Density functional theory data (PBE) for a geometry-optimized Y2Ho5Er structure.

Summary:
SG ... No. 2
Magnetic moment ... 0.00 Bohr magnetons per cell

a b c (Å): 6.852 8.599 9.084
angles (deg): 89.60 89.87 72.17
Positions (direct):
Y1 0.116 0.124 0.402
Y2 0.221 0.871 0.934
Y3 0.779 0.129 0.066
Y4 0.884 0.876 0.598
Ho1 0.061 0.750 0.262
Ho2 0.179 0.316 0.082
Ho3 0.205 0.485 0.569
Ho4 0.413 0.789 0.572
Ho5 0.474 0.485 0.833
Ho6 0.526 0.515 0.167
Ho7 0.587 0.211 0.428
Ho8 0.795 0.515 0.431
Ho9 0.821 0.684 0.918
Ho10 0.939 0.250 0.738
Er1 0.461 0.110 0.775
Er2 0.539 0.890 0.225

(B)
Density functional theory data (PBE) for a geometry-optimized Y2Ho5Er structure.

Summary:
SG ... No. 55
Magnetic moment ... 0.00 Bohr magnetons per cell

a b c (Å): 7.069 14.139 4.991
angles (deg): 90.00 90.00 90.00
Positions (direct):
Y1 0.249 0.125 0.000
Y2 0.251 0.625 0.000
Y3 0.749 0.375 0.000
Y4 0.751 0.875 0.000
Ho1 0.000 0.500 0.500
Ho2 0.001 0.750 0.500
Ho3 0.249 0.375 0.000
Ho4 0.251 0.875 0.000
Ho5 0.499 0.250 0.500
Ho6 0.500 0.000 0.500
Ho7 0.501 0.750 0.500
Ho8 0.749 0.125 0.000
Ho9 0.751 0.625 0.000
Ho10 0.999 0.250 0.500
Er1 0.000 0.000 0.500
Er2 0.500 0.500 0.500

Relative energies, in meV per atom, with the most stable structure set to zero: (A) 136; (B) 0.

(A)
Density functional theory data (PBE) for a geometry-optimized YHo5Er3 structure.

Summary:
SG ... No. 15
Magnetic moment ... 0.00 Bohr magnetons per cell

a b c (Å): 9.224 9.224 10.966
angles (deg): 126.43 126.43 56.36
Positions (direct):
Y1 0.171 0.829 0.750
Y2 0.829 0.171 0.250
Ho1 0.024 0.783 0.382
Ho2 0.033 0.603 0.835
Ho3 0.217 0.976 0.118
Ho4 0.266 0.734 0.250
Ho5 0.397 0.967 0.665
Ho6 0.603 0.033 0.335
Ho7 0.734 0.266 0.750
Ho8 0.783 0.024 0.882
Ho9 0.967 0.397 0.165
Ho10 0.976 0.217 0.618
Er1 0.249 0.318 0.534
Er2 0.318 0.249 0.034
Er3 0.500 0.500 0.000
Er4 0.500 0.500 0.500
Er5 0.682 0.751 0.966
Er6 0.751 0.682 0.466

(B)
Density functional theory data (PBE) for a geometry-optimized YHo5Er3 structure.

Summary:
SG ... No. 12
Magnetic moment ... 0.00 Bohr magnetons per cell

a b c (Å): 9.414 9.414 9.877
angles (deg): 121.05 121.05 73.91
Positions (direct):
Y1 0.248 0.248 0.099
Y2 0.752 0.752 0.901
Ho1 0.099 0.602 0.750
Ho2 0.222 0.222 0.732
Ho3 0.241 0.759 0.500
Ho4 0.278 0.278 0.463
Ho5 0.398 0.901 0.250
Ho6 0.602 0.099 0.750
Ho7 0.722 0.722 0.537
Ho8 0.759 0.241 0.500
Ho9 0.778 0.778 0.268
Ho10 0.901 0.398 0.250
Er1 0.000 0.000 0.000
Er2 0.011 0.011 0.318
Er3 0.480 0.480 0.138
Er4 0.500 0.500 0.500
Er5 0.520 0.520 0.862
Er6 0.989 0.989 0.682

Relative energies, in meV per atom, with the most stable structure set to zero: (A) 0; (B) 293.

(A)
Density functional theory data (PBE) for a geometry-optimized Y3Ho5Er structure.

Summary:
SG ... No. 15
Magnetic moment ... 0.00 Bohr magnetons per cell

a b c (Å): 8.783 8.783 11.277
angles (deg): 107.30 107.30 44.68
Positions (direct):
Y1 0.000 0.000 0.000
Y2 0.000 0.000 0.500
Y3 0.139 0.389 0.647
Y4 0.389 0.139 0.147
Y5 0.611 0.861 0.853
Y6 0.861 0.611 0.353
Ho1 0.055 0.296 0.876
Ho2 0.296 0.055 0.376
Ho3 0.318 0.682 0.250
Ho4 0.387 0.399 0.456
Ho5 0.399 0.387 0.956
Ho6 0.601 0.613 0.044
Ho7 0.613 0.601 0.544
Ho8 0.682 0.318 0.750
Ho9 0.704 0.945 0.624
Ho10 0.945 0.704 0.124
Er1 0.226 0.774 0.750
Er2 0.774 0.226 0.250

(B)
Density functional theory data (PBE) for a geometry-optimized Y3Ho5Er structure.

Summary:
SG ... No. 193
Magnetic moment ... 0.01 Bohr magnetons per cell

a b c (Å): 9.680 9.680 6.975
angles (deg): 90.00 90.00 120.00
Positions (direct):
Y1 0.000 0.359 0.250
Y2 0.000 0.641 0.750
Y3 0.359 0.000 0.250
Y4 0.359 0.359 0.750
Y5 0.641 0.000 0.750
Y6 0.641 0.641 0.250
Ho1 0.000 0.306 0.750
Ho2 0.000 0.694 0.250
Ho3 0.306 0.000 0.750
Ho4 0.306 0.306 0.250
Ho5 0.333 0.667 0.000
Ho6 0.333 0.667 0.500
Ho7 0.667 0.333 0.000
Ho8 0.667 0.333 0.500
Ho9 0.694 0.000 0.250
Ho10 0.694 0.694 0.750
Er1 0.000 0.000 0.000
Er2 0.000 0.000 0.500

Relative energies, in meV per atom, with the most stable structure set to zero: (A) 114; (B) 0.

(A)
Density functional theory data (PBE) for a geometry-optimized Y4Ho5Er3 structure.

Summary:
SG ... No. 12
Magnetic moment ... 0.57 Bohr magnetons per cell

a b c (Å): 8.509 8.509 9.252
angles (deg): 115.10 115.10 40.19
Positions (direct):
Y1 0.080 0.080 0.438
Y2 0.214 0.214 0.878
Y3 0.786 0.786 0.122
Y4 0.920 0.920 0.562
Ho1 0.000 0.000 0.000
Ho2 0.327 0.327 0.615
Ho3 0.427 0.427 0.299
Ho4 0.573 0.573 0.701
Ho5 0.673 0.673 0.385
Er1 0.210 0.210 0.233
Er2 0.500 0.500 0.000
Er3 0.790 0.790 0.767

(B)
Density functional theory data (PBE) for a geometry-optimized Y4Ho5Er3 structure.

Summary:
SG ... No. 12
Magnetic moment ... 0.00 Bohr magnetons per cell

a b c (Å): 8.558 8.558 9.241
angles (deg): 115.39 115.39 39.83
Positions (direct):
Y1 0.074 0.074 0.204
Y2 0.291 0.291 0.270
Y3 0.709 0.709 0.730
Y4 0.926 0.926 0.796
Ho1 0.000 0.000 0.500
Ho2 0.286 0.286 0.622
Ho3 0.418 0.418 0.059
Ho4 0.582 0.582 0.941
Ho5 0.714 0.714 0.378
Er1 0.173 0.173 0.885
Er2 0.500 0.500 0.500
Er3 0.827 0.827 0.115

Relative energies, in meV per atom, with the most stable structure set to zero: (A) 0; (B) 12.

(A)
Density functional theory data (PBE) for a geometry-optimized Y5HoEr2 structure.

Summary:
SG ... No. 55
Magnetic moment ... 0.00 Bohr magnetons per cell

a b c (Å): 7.101 14.202 5.009
angles (deg): 90.00 90.00 90.00
Positions (direct):
Y1 0.000 0.000 0.000
Y2 0.001 0.251 0.000
Y3 0.250 0.375 0.500
Y4 0.250 0.875 0.500
Y5 0.499 0.751 0.000
Y6 0.500 0.500 0.000
Y7 0.501 0.249 0.000
Y8 0.750 0.125 0.500
Y9 0.750 0.625 0.500
Y10 0.999 0.749 0.000
Ho1 0.000 0.500 0.000
Ho2 0.500 0.000 0.000
Er1 0.249 0.625 0.500
Er2 0.251 0.125 0.500
Er3 0.749 0.875 0.500
Er4 0.751 0.375 0.500

(B)
Density functional theory data (PBE) for a geometry-optimized Y5HoEr2 structure.

Summary:
SG ... No. 15
Magnetic moment ... 0.00 Bohr magnetons per cell

a b c (Å): 8.864 8.864 9.470
angles (deg): 91.87 91.87 136.23
Positions (direct):
Y1 0.154 0.846 0.750
Y2 0.207 0.705 0.087
Y3 0.208 0.449 0.611
Y4 0.295 0.793 0.413
Y5 0.449 0.208 0.111
Y6 0.551 0.792 0.889
Y7 0.705 0.207 0.587
Y8 0.792 0.551 0.389
Y9 0.793 0.295 0.913
Y10 0.846 0.154 0.250
Ho1 0.437 0.563 0.250
Ho2 0.563 0.437 0.750
Er1 0.122 0.227 0.921
Er2 0.227 0.122 0.421
Er3 0.773 0.878 0.579
Er4 0.878 0.773 0.079

Relative energies, in meV per atom, with the most stable structure set to zero: (A) 0; (B) 134.